Compound: K12Rb3Sr
Source: the Alexandria database
Functional: PBE
Structure: relaxed

```
K12Rb3Sr
1.0
6.697 0.000 0.000
0.000 6.697 0.000
0.000 0.000 26.374
K Rb Sr
12 3 1
direct
0.500 0.500 0.000
0.500 0.500 0.247
0.500 0.500 0.500
0.500 0.500 0.753
0.500 0.000 0.118
0.500 0.000 0.373
0.500 0.000 0.627
0.500 0.000 0.882
0.000 0.500 0.118
0.000 0.500 0.373
0.000 0.500 0.627
0.000 0.500 0.882
0.000 0.000 0.244
0.000 0.000 0.500
0.000 0.000 0.756
0.000 0.000 0.000
```

Properties
Energy of formation ... 0.032 eV/atom
Density ... 1.14 g/cm3
DFT total energy ... -17.2 eV for the cell shown
M_tot ... 0.00 μB per cell

---

Compound: TaCu2Hg
Source: the Alexandria database
Functional: PBE
Structure: relaxed

```
TaCu2Hg
1.0
5.170 0.018 0.016
4.408 2.701 0.016
1.454 0.413 4.577
Cu Hg Ta
2 1 1
direct
0.019 0.019 0.028
0.728 0.728 0.730
0.486 0.486 0.543
0.267 0.267 0.199
```

Properties
Energy of formation ... 0.333 eV/atom
Density ... 13.30 g/cm3
DFT total energy ... -19.0 eV for the cell shown
M_tot ... 0.00 μB per cell

---

Compound: LiVTe2C
Source: the Alexandria database
Functional: PBE
Structure: relaxed

```
LiVTe2C
1.0
-2.159 0.275 -4.357
-2.794 -3.193 1.183
-3.085 3.343 1.740
C Te Li V
1 2 1 1
direct
0.500 0.500 0.500
0.000 0.000 0.500
0.500 0.000 0.000
0.000 0.000 0.000
0.000 0.500 0.000
```

Properties
Uncorrected formation energy ... 1718 meV per atom
Density ... 5.17 g/cm3
DFT total energy ... -18.0 eV for the cell shown
M_tot ... 2.51 μB per cell

---

Compound: Pm2PrHg3
Source: the Alexandria database
Functional: PBE
Structure: relaxed

```
Pm2PrHg3
1.0
3.832 0.000 0.000
0.000 3.832 0.000
0.000 0.000 11.491
Pm Pr Hg
2 1 3
direct
0.500 0.500 0.835
0.500 0.500 0.165
0.500 0.500 0.500
0.000 0.000 0.000
0.000 0.000 0.672
0.000 0.000 0.328
```

Properties
Energy of formation ... -0.474 eV/atom
Density ... 10.16 g/cm3
DFT total energy ... -18.0 eV for the cell shown
M_tot ... 1.27 μB per cell

---

Compound: RbReCl5
Source: the Alexandria database
Functional: PBE
Structure: relaxed

```
RbReCl5
1.0
-6.029 4.820 1.956
-6.036 -2.514 4.546
1.522 3.066 8.686
Rb Re Cl
2 2 10
direct
0.484 0.516 0.750
0.516 0.484 0.250
0.000 0.000 0.000
0.000 0.000 0.500
0.336 0.920 0.895
0.337 0.915 0.473
0.920 0.336 0.395
0.906 0.094 0.750
0.085 0.663 0.027
0.915 0.337 0.973
0.094 0.906 0.250
0.080 0.664 0.605
0.663 0.085 0.527
0.664 0.080 0.105
```

Properties
Uncorrected formation energy ... -963 meV per atom
Density ... 3.15 g/cm3
DFT total energy ... -58.8 eV for the cell shown
M_tot ... 6.00 μB per cell

---

Compound: GaFe4Ge
Source: the Alexandria database
Functional: PBE
Structure: relaxed

```
GaFe4Ge
1.0
5.705 0.000 -2.699
-1.276 5.561 -2.699
-0.610 -0.766 6.091
Ga Fe Ge
2 8 2
direct
0.000 0.000 0.000
0.250 0.750 0.500
0.396 0.115 0.507
0.642 0.146 0.007
0.365 0.861 0.007
0.111 0.392 0.507
0.139 0.358 0.993
0.885 0.889 0.493
0.608 0.604 0.493
0.854 0.635 0.993
0.500 0.500 0.000
0.750 0.250 0.500
```

Properties
Energy of formation ... 0.271 eV/atom
Density ... 7.16 g/cm3
DFT total energy ... -79.7 eV for the cell shown
Energy relative to the lowest polymorph listed for this composition ... 0.184 eV per atom
M_tot ... 17.76 μB per cell